1.
Compound: NbCr2I
Source: Alexandria
Functional: GGA-PBE
Structure: optimized geometry

Results
Total moment: 0.00 μB per atom
E above lowest polymorph: 0 meV/atom

Cell: 4.446 4.446 4.446 Å, 60.00 60.00 60.00°
Positions (direct):
I 0.500 0.500 0.500
Nb 0.000 0.000 0.000
Cr 0.750 0.750 0.750
Cr 0.250 0.250 0.250

2.
Compound: PuPd2Au
Source: Alexandria
Functional: GGA-PBE
Structure: optimized geometry

Results
DFT formation energy: -0.482 eV/atom
Total moment: 1.32 μB per atom

Cell: 4.049 4.320 4.320 Å, 90.00 90.00 90.00°
Site moments in Bohr magnetons follow the coordinates.
Positions (direct):
Au 0.500 0.000 0.000  0.03
Pu 0.500 0.500 0.500  5.11
Pd 0.000 0.000 0.500  0.00
Pd 0.000 0.500 0.000  0.00

no.,Fermi-level density of states (states/eV/f.u.)
1,3.30
2,14.71